DyMn7O12 after structural relaxation. Source: the Alexandria database, functional PBE+U.

a b c (Å): 6.5271 6.5271 6.5271
angles (deg): 109.47 109.47 109.47
With the nearest neighbours (Å) after each atom.
Positions (direct):
Dy (0.0000, 0.0000, 0.0000)  12 O 2.63
Mn (0.5000, 0.0000, 0.5000)  4 O 1.97
Mn (0.5000, 0.5000, 0.0000)  4 O 1.97
Mn (0.0000, 0.5000, 0.5000)  4 O 1.97
Mn (0.0000, 0.0000, 0.5000)  6 O 2.01
Mn (0.5000, 0.0000, 0.0000)  6 O 2.01
Mn (0.5000, 0.5000, 0.5000)  6 O 2.01
Mn (0.0000, 0.5000, 0.0000)  6 O 2.01
O (0.3036, 0.1732, 0.4768)  3 Mn 1.97-2.01
O (0.3036, 0.8268, 0.1304)  3 Mn 1.97-2.01
O (0.6964, 0.8268, 0.5232)  3 Mn 1.97-2.01
O (0.6964, 0.1732, 0.8696)  3 Mn 1.97-2.01
O (0.4768, 0.3036, 0.1732)  3 Mn 1.97-2.01
O (0.8696, 0.6964, 0.1732)  3 Mn 1.97-2.01
O (0.5232, 0.6964, 0.8268)  3 Mn 1.97-2.01
O (0.1304, 0.3036, 0.8268)  3 Mn 1.97-2.01
O (0.8268, 0.1304, 0.3036)  3 Mn 1.97-2.01
O (0.1732, 0.8696, 0.6964)  3 Mn 1.97-2.01
O (0.1732, 0.4768, 0.3036)  3 Mn 1.97-2.01
O (0.8268, 0.5232, 0.6964)  3 Mn 1.97-2.01

As for the final energy: -7.630 eV/atom. As for the size of the total moment: 1.40 μB/atom. As for the density of states at the Fermi level: 2.703 states/eV per cell.